12
Lattice="-0.462 4.589 2.985 -4.387 -0.742 0.462 1.458 -4.333 6.887" Properties=species:S:1:pos:R:3 comment="Ta2Os | Alexandria via LeMat-Bulk | GGA-PBE | optimized geometry" mass_density_g_cm3=18.05 e_form_kj_per_mol_atoms=-22.3 pbc="T T T"
Os 0.177 -3.399 7.052
Os -2.812 -0.943 4.269
Os -0.579 0.456 6.064
Os -3.568 2.912 3.282
Ta -0.753 -1.149 1.829
Ta -0.318 -1.959 4.666
Ta -3.316 0.584 1.940
Ta -2.433 -1.556 6.890
Ta -0.959 1.068 3.444
Ta -0.075 -1.071 8.394
Ta -3.073 1.472 5.668
Ta -2.638 0.661 8.505

---

4
Lattice="3.210 0.000 0.000 0.000 3.210 0.000 0.000 0.000 7.024" Properties=species:S:1:pos:R:3 comment="TbTaOs2 | Alexandria via LeMat-Bulk | GGA-PBE | optimized geometry" mass_density_g_cm3=16.53 e_form_kj_per_mol_atoms=-26.1 pbc="T T T"
Tb 1.605 1.605 3.512
Os 0.000 0.000 5.501
Os 0.000 0.000 1.523
Ta 1.605 1.605 0.000

---

10
Lattice="-2.830 -0.361 -1.321 -1.291 -0.309 2.850 -2.517 17.113 0.717" Properties=species:S:1:pos:R:3 comment="TbTa4Os5 | Alexandria via LeMat-Bulk | GGA-PBE | optimized geometry" mass_density_g_cm3=17.80 e_form_kj_per_mol_atoms=-27.3 pbc="T T T"
Tb 0.000 0.000 0.000
Ta -0.530 3.601 0.151
Ta -1.018 6.920 0.290
Ta -1.499 10.194 0.427
Ta -1.987 13.512 0.566
Os -2.382 1.851 0.856
Os -2.844 4.993 0.988
Os -3.319 8.221 1.123
Os -3.794 11.450 1.258
Os -4.256 14.592 1.390